[1]
A crystal of ZnCdRh2 relaxed with PBEsol. Source: Alexandria via LeMat-Bulk, functional meta-GGA SCAN.

Unit cell a=2.7800 b=4.0830 c=5.3586 alpha=90.00 beta=103.90 gamma=90.00
Positions (direct):
Rh: 0.8835 0.0000 0.2282
Rh: 0.1165 0.0000 0.7718
Zn: 0.5000 0.5000 0.0000
Cd: 0.5000 0.5000 0.5000

Computed properties:
Magnetic moment ... 0.000 μB/cell
SG ... P2/m, No. 10
Formation enthalpy at 0 K ... -127 meV/atom
Total energy ... -111.98 eV for the cell shown

---

[2]
A crystal of MgCdPb relaxed with PBEsol. Source: Alexandria via LeMat-Bulk, functional meta-GGA SCAN.

Unit cell a=3.3444 b=4.4577 c=5.6348 alpha=113.30 beta=107.26 gamma=90.00
Positions (direct):
Pb: 0.3335 0.3335 0.6670
Cd: 0.0057 0.0057 0.0115
Mg: 0.6608 0.6608 0.3215

Computed properties:
Magnetic moment ... 0.000 μB/cell
SG ... Imm2, No. 44
Formation enthalpy at 0 K ... -54 meV/atom
Total energy ... -111.33 eV for the cell shown

---

[3]
A crystal of Nb3PRh relaxed with PBEsol. Source: Alexandria via LeMat-Bulk, functional meta-GGA SCAN.

Unit cell a=4.5137 b=4.5137 c=4.5137 alpha=90.00 beta=90.00 gamma=90.00
Positions (direct):
Nb: 0.0000 0.0000 0.5000
Nb: 0.5000 0.0000 0.0000
Nb: 0.0000 0.5000 0.0000
P: 0.0000 0.0000 0.0000
Rh: 0.5000 0.5000 0.5000

Computed properties:
Magnetic moment ... 0.000 μB/cell
SG ... Pm-3m, No. 221
Formation enthalpy at 0 K ... 312 meV/atom
Total energy ... -142.00 eV for the cell shown

---

[4]
A crystal of Sc2Al3Ru relaxed with PBEsol. Source: Alexandria via LeMat-Bulk, functional meta-GGA SCAN.

Unit cell a=5.2545 b=5.2545 c=8.4666 alpha=90.00 beta=90.00 gamma=120.00
Positions (direct):
Al: 0.6697 0.8349 0.7500
Al: 0.8349 0.6697 0.2500
Al: 0.1651 0.8349 0.7500
Al: 0.8349 0.1651 0.2500
Al: 0.3303 0.1651 0.2500
Al: 0.1651 0.3303 0.7500
Sc: 0.6667 0.3333 0.5548
Sc: 0.3333 0.6667 0.0548
Sc: 0.6667 0.3333 0.9452
Sc: 0.3333 0.6667 0.4452
Ru: 0.0000 0.0000 0.5000
Ru: 0.0000 0.0000 0.0000

Computed properties:
Magnetic moment ... 0.166 μB/cell
SG ... P6_3/mmc, No. 194
Formation enthalpy at 0 K ... -724 meV/atom
Total energy ... -181.80 eV for the cell shown

---

[5]
A crystal of ZrCoRh2 relaxed with PBEsol. Source: Alexandria via LeMat-Bulk, functional meta-GGA SCAN.

Unit cell a=2.8930 b=4.6135 c=4.6560 alpha=102.27 beta=108.10 gamma=90.00
Each line ends with the local moment (μB).
Positions (direct):
Co: 0.5000 0.0000 0.0000  1.68
Zr: 0.0000 0.5000 0.0000  -0.14
Rh: 0.7579 0.7706 0.5157  0.17
Rh: 0.2421 0.2294 0.4843  0.17

Computed properties:
Magnetic moment ... 1.771 μB/cell
SG ... C2/m, No. 12
Formation enthalpy at 0 K ... -342 meV/atom
Total energy ... -116.92 eV for the cell shown

---

[6]
A crystal of KMgPbAu2 relaxed with PBEsol. Source: Alexandria via LeMat-Bulk, functional meta-GGA SCAN.

Unit cell a=5.4053 b=5.4053 c=5.3675 alpha=90.00 beta=90.00 gamma=90.00
Positions (direct):
Au: 0.0000 0.5000 0.0000
Au: 0.5000 0.0000 0.0000
Mg: 0.0000 0.0000 0.5000
Pb: 0.5000 0.5000 0.5000
K: 0.0000 0.0000 0.0000

Computed properties:
Magnetic moment ... 0.000 μB/cell
SG ... P4/mmm, No. 123
Formation enthalpy at 0 K ... 898 meV/atom
Total energy ... -222.91 eV for the cell shown

---

[7]
A crystal of La2Hf2F relaxed with PBEsol. Source: Alexandria via LeMat-Bulk, functional meta-GGA SCAN.

Unit cell a=3.8872 b=3.8872 c=9.3281 alpha=102.03 beta=102.03 gamma=90.00
Positions (direct):
La: 0.4006 0.4006 0.8012
La: 0.5994 0.5994 0.1988
Hf: 0.7500 0.2500 0.5000
Hf: 0.2500 0.7500 0.5000
F: 0.0000 0.0000 0.0000

Computed properties:
Magnetic moment ... 0.000 μB/cell
SG ... I4/mmm, No. 139
Uncorrected formation energy ... -172 kJ/mol of formula units
Total energy ... -216.88 eV for the cell shown

---

[8]
A crystal of YCd4 relaxed with PBEsol. Source: Alexandria via LeMat-Bulk, functional meta-GGA SCAN.

Unit cell a=4.8031 b=5.3615 c=5.3615 alpha=78.43 beta=63.39 gamma=63.39
Positions (direct):
Y: 0.0000 0.0000 0.0000
Cd: 0.8002 0.7467 0.6530
Cd: 0.5469 0.6530 0.2533
Cd: 0.1998 0.2533 0.3470
Cd: 0.4531 0.3470 0.7467

Computed properties:
Magnetic moment ... 0.000 μB/cell
SG ... I4/m, No. 87
Formation enthalpy at 0 K ... -240 meV/atom
Total energy ... -150.70 eV for the cell shown

---

[9]
A crystal of Ho5SbPd2 relaxed with PBEsol. Source: Alexandria via LeMat-Bulk, functional meta-GGA SCAN.

Unit cell a=7.6064 b=8.5716 c=7.6064 alpha=63.66 beta=90.00 gamma=116.34
Positions (direct):
Pd: 0.1353 0.0000 0.6353
Pd: 0.6353 0.0000 0.8647
Pd: 0.8647 0.0000 0.3647
Pd: 0.3647 0.0000 0.1353
Ho: 0.9858 0.2850 0.5142
Ho: 0.7008 0.7150 0.7992
Ho: 0.2008 0.7150 0.9858
Ho: 0.5142 0.7150 0.2992
Ho: 0.4858 0.2850 0.7008
Ho: 0.5000 0.0000 0.5000
Ho: 0.7992 0.2850 0.0142
Ho: 0.0000 0.0000 0.0000
Ho: 0.0142 0.7150 0.4858
Ho: 0.2992 0.2850 0.2008
Sb: 0.2500 0.5000 0.7500
Sb: 0.7500 0.5000 0.2500

Computed properties:
Magnetic moment ... 0.000 μB/cell
SG ... I4/mcm, No. 140
Uncorrected formation energy ... -675 kJ/mol of formula units
Total energy ... -709.48 eV for the cell shown

---

[10]
A crystal of Sb2PbCl relaxed with PBEsol. Source: Alexandria via LeMat-Bulk, functional meta-GGA SCAN.

Unit cell a=3.9488 b=3.9488 c=9.0512 alpha=77.40 beta=77.40 gamma=60.00
Positions (direct):
Sb: 0.7417 0.7417 0.7749
Sb: 0.0083 0.0083 0.9752
Cl: 0.5049 0.5049 0.4853
Pb: 0.2451 0.2451 0.2646

Computed properties:
Magnetic moment ... 0.000 μB/cell
SG ... R3m, No. 160
ΔE to the lowest computed polymorph ... 0 meV per atom
Uncorrected formation energy ... -78 kJ/mol of formula units
Total energy ... -159.09 eV for the cell shown

---

[11]
A crystal of Nb2CN relaxed with PBEsol. Source: Alexandria via LeMat-Bulk, functional meta-GGA SCAN.

Unit cell a=4.7728 b=4.7728 c=5.8632 alpha=114.02 beta=114.02 gamma=90.00
Positions (direct):
Nb: 0.1250 0.1215 0.7500
Nb: 0.8785 0.3750 0.2500
Nb: 0.6250 0.6285 0.7500
Nb: 0.3715 0.8750 0.2500
N: 0.0000 0.0000 0.0000
N: 0.2500 0.7500 0.5000
C: 0.7500 0.2500 0.5000
C: 0.5000 0.5000 0.0000

Computed properties:
Magnetic moment ... 0.000 μB/cell
SG ... I-42d, No. 122
ΔE to the lowest computed polymorph ... 362 meV per atom
Uncorrected formation energy ... -170 kJ/mol of formula units
Total energy ... -174.82 eV for the cell shown

---

[12]
A crystal of Y2Nb3Ge4 relaxed with PBEsol. Source: Alexandria via LeMat-Bulk, functional meta-GGA SCAN.

Unit cell a=6.9417 b=7.1177 c=13.4393 alpha=90.00 beta=90.00 gamma=90.00
Positions (direct):
Y: 0.0028 0.8266 0.0950
Y: 0.0028 0.8266 0.4050
Y: 0.5028 0.6734 0.0950
Y: 0.4972 0.3266 0.5950
Y: 0.9972 0.1734 0.5950
Y: 0.5028 0.6734 0.4050
Y: 0.4972 0.3266 0.9050
Y: 0.9972 0.1734 0.9050
Ge: 0.0396 0.1208 0.2500
Ge: 0.3265 0.9614 0.9583
Ge: 0.5396 0.3792 0.2500
Ge: 0.8049 0.6377 0.2500
Ge: 0.1735 0.4614 0.0417
Ge: 0.3049 0.8623 0.2500
Ge: 0.6735 0.0386 0.4583
Ge: 0.1951 0.3623 0.7500
Ge: 0.1735 0.4614 0.4583
Ge: 0.6951 0.1377 0.7500
Ge: 0.8265 0.5386 0.9583
Ge: 0.6735 0.0386 0.0417
Ge: 0.9604 0.8792 0.7500
Ge: 0.8265 0.5386 0.5417
Ge: 0.4604 0.6208 0.7500
Ge: 0.3265 0.9614 0.5417
Nb: 0.6647 0.0122 0.2500
Nb: 0.6597 0.8286 0.6267
Nb: 0.8403 0.3286 0.3733
Nb: 0.3353 0.9878 0.7500
Nb: 0.3403 0.1714 0.1267
Nb: 0.1597 0.6714 0.6267
Nb: 0.8403 0.3286 0.1267
Nb: 0.8353 0.5122 0.7500
Nb: 0.3403 0.1714 0.3733
Nb: 0.1597 0.6714 0.8733
Nb: 0.6597 0.8286 0.8733
Nb: 0.1647 0.4878 0.2500

Computed properties:
Magnetic moment ... 0.000 μB/cell
SG ... Pnma, No. 62
Formation enthalpy at 0 K ... -856 meV/atom
Total energy ... -956.53 eV for the cell shown